Entry 1:
Si3Ni | PBE | optimized geometry

Calculated values
formation energy from raw total energies = 0.68 eV/atom
crystal system = cubic
total magnetization = 0.00 μB per formula unit
space-group type = Pm-3m, No. 221

Cell: 4.3895 4.3895 4.3895 Å, 90.00 90.00 90.00°
Closest atoms and distances in Å follow each position.
Sites, in units of the cell vectors:
Si (0.0000, 0.0000, 0.5000)  2 Ni 2.19
Si (0.0000, 0.5000, 0.0000)  2 Ni 2.19
Si (0.5000, 0.0000, 0.0000)  2 Ni 2.19
Ni (0.0000, 0.0000, 0.0000)  6 Si 2.19

=====

Entry 2:
TiSeBr3 | PBE | optimized geometry

Calculated values
formation energy from raw total energies = -0.29 eV/atom
crystal system = cubic
total magnetization = 2.15 μB per formula unit
space-group type = Pm-3m, No. 221

Cell: 5.1314 5.1314 5.1314 Å, 90.00 90.00 90.00°
Closest atoms and distances in Å follow each position.
Sites, in units of the cell vectors:
Ti (0.0000, 0.0000, 0.0000)  6 Br 2.57
Se (0.5000, 0.5000, 0.5000)  12 Br 3.63
Br (0.0000, 0.0000, 0.5000)  2 Ti 2.57
Br (0.0000, 0.5000, 0.0000)  2 Ti 2.57
Br (0.5000, 0.0000, 0.0000)  2 Ti 2.57

=====

Entry 3:
Rb2Ce2SmSe6 | PBE | optimized geometry

Calculated values
formation energy from raw total energies = -1.71 eV/atom
crystal system = monoclinic
total magnetization = 1.02 μB per formula unit
space-group type = C2/m, No. 12

Cell: 7.4525 7.4525 8.4988 Å, 98.32 98.32 120.02°
Closest atoms and distances in Å follow each position.
Sites, in units of the cell vectors:
Rb (0.1662, 0.8338, 0.0000)  6 Se 3.52-3.53
Rb (0.8338, 0.1662, 0.0000)  6 Se 3.52-3.53
Ce (0.3340, 0.6660, 0.5000)  6 Se 2.92-2.93
Ce (0.6660, 0.3340, 0.5000)  6 Se 2.92-2.93
Sm (0.0000, 0.0000, 0.5000)  6 Se 2.94-2.95
Se (0.0620, 0.3990, 0.6921)  2 Ce 2.92-2.93, 1 Sm 2.95
Se (0.2702, 0.2702, 0.3071)  2 Ce 2.93, 1 Sm 2.94
Se (0.3990, 0.0620, 0.6921)  2 Ce 2.92-2.93, 1 Sm 2.95
Se (0.6010, 0.9380, 0.3079)  2 Ce 2.92-2.93, 1 Sm 2.95
Se (0.7298, 0.7298, 0.6929)  2 Ce 2.93, 1 Sm 2.94
Se (0.9380, 0.6010, 0.3079)  2 Ce 2.92-2.93, 1 Sm 2.95

=====

Entry 4:
KTaAgPb2 | PBE | optimized geometry

Calculated values
crystal system = tetragonal
total magnetization = 2.95 μB per formula unit
space-group type = P4/mmm, No. 123
E = -3.382 eV/atom

Cell: 5.4501 5.4501 5.4878 Å, 90.00 90.00 90.00°
Closest atoms and distances in Å follow each position.
Sites, in units of the cell vectors:
K (0.0000, 0.0000, 0.0000)  2 Ag 2.74
Ta (0.5000, 0.5000, 0.0000)  4 K 3.85, 8 Pb 3.87
Ag (0.0000, 0.0000, 0.5000)  4 Pb 2.73, 2 K 2.74
Pb (0.0000, 0.5000, 0.5000)  2 Ag 2.73
Pb (0.5000, 0.0000, 0.5000)  2 Ag 2.73

=====

Entry 5:
RePb3N | PBE | optimized geometry

Calculated values
formation energy from raw total energies = 1.35 eV/atom
crystal system = cubic
energy relative to the lowest polymorph listed for this composition = 0.0 meV/atom
total magnetization = 2.00 μB per formula unit
space-group type = Pm-3m, No. 221

Cell: 5.3203 5.3203 5.3203 Å, 90.00 90.00 90.00°
Closest atoms and distances in Å follow each position.
Sites, in units of the cell vectors:
Re (0.0000, 0.0000, 0.0000)  6 Pb 2.66
Pb (0.0000, 0.0000, 0.5000)  2 Re 2.66
Pb (0.0000, 0.5000, 0.0000)  2 Re 2.66
Pb (0.5000, 0.0000, 0.0000)  2 Re 2.66
N (0.5000, 0.5000, 0.5000)  12 Pb 3.76

=====

Entry 6:
Ho2Be4AlIr3 | PBE | optimized geometry

Calculated values
crystal system = tetragonal
total magnetization = 0.00 μB per formula unit
space-group type = P-4m2, No. 115
E = -6.044 eV/atom

Cell: 3.8247 3.8247 10.1907 Å, 90.00 90.00 90.00°
Closest atoms and distances in Å follow each position.
Sites, in units of the cell vectors:
Ho (0.0000, 0.5000, 0.2405)  6 Ir 2.94-3.26, 8 Be 2.96-3.11, 2 Al 3.26
Ho (0.5000, 0.0000, 0.7595)  6 Ir 2.94-3.26, 8 Be 2.96-3.11, 2 Al 3.26
Be (0.0000, 0.0000, 0.0000)  4 Ir 2.31
Be (0.0000, 0.5000, 0.6415)  3 Ir 2.35-2.39, 2 Al 2.39
Be (0.5000, 0.0000, 0.3585)  3 Ir 2.35-2.39, 2 Al 2.39
Be (0.5000, 0.5000, 0.0000)  4 Ir 2.31
Al (0.0000, 0.0000, 0.5000)  4 Be 2.39
Ir (0.0000, 0.5000, 0.8724)  5 Be 2.31-2.35
Ir (0.5000, 0.0000, 0.1276)  5 Be 2.31-2.35
Ir (0.5000, 0.5000, 0.5000)  4 Be 2.39

=====

Entry 7:
Pr2DyTmBi4 | PBE | optimized geometry

Calculated values
crystal system = monoclinic
total magnetization = 0.00 μB per formula unit
space-group type = P2/m, No. 10
E = -5.155 eV/atom

Cell: 7.8703 4.5547 7.8845 Å, 90.00 109.51 90.00°
Closest atoms and distances in Å follow each position.
Sites, in units of the cell vectors:
Pr (0.0000, 0.0000, 0.0000)  6 Bi 3.26
Pr (0.0000, 0.5000, 0.5000)  6 Bi 3.28
Dy (0.5000, 0.0000, 0.5000)  6 Bi 3.17
Tm (0.5000, 0.5000, 0.0000)  6 Bi 3.16
Bi (0.2619, 0.5000, 0.2525)  1 Tm 3.16, 2 Dy 3.17, 3 Pr 3.26-3.28
Bi (0.2629, 0.0000, 0.7557)  2 Tm 3.16, 1 Dy 3.17, 3 Pr 3.26-3.28
Bi (0.7371, 0.0000, 0.2443)  2 Tm 3.16, 1 Dy 3.17, 3 Pr 3.26-3.28
Bi (0.7381, 0.5000, 0.7475)  1 Tm 3.16, 2 Dy 3.17, 3 Pr 3.26-3.28

=====

Entry 8:
ZrTeMo2 | PBE | optimized geometry

Calculated values
formation energy from raw total energies = 0.40 eV/atom
crystal system = trigonal
total magnetization = 0.00 μB per formula unit
space-group type = R-3m, No. 166

Cell: 3.2815 3.2815 25.2039 Å, 90.00 90.00 120.00°
Closest atoms and distances in Å follow each position.
Sites, in units of the cell vectors:
Zr (0.0000, 0.0000, 0.0000)  6 Mo 2.87
Zr (0.3333, 0.6667, 0.6667)  6 Mo 2.87
Zr (0.6667, 0.3333, 0.3333)  6 Mo 2.87
Te (0.0000, 0.0000, 0.5000)  6 Mo 2.79
Te (0.3333, 0.6667, 0.1667)  6 Mo 2.79
Te (0.6667, 0.3333, 0.8333)  6 Mo 2.79
Mo (0.0000, 0.0000, 0.2480)  3 Te 2.79, 3 Zr 2.87
Mo (0.0000, 0.0000, 0.7520)  3 Te 2.79, 3 Zr 2.87
Mo (0.3333, 0.6667, 0.4187)  3 Te 2.79, 3 Zr 2.87
Mo (0.3333, 0.6667, 0.9147)  3 Te 2.79, 3 Zr 2.87
Mo (0.6667, 0.3333, 0.0853)  3 Te 2.79, 3 Zr 2.87
Mo (0.6667, 0.3333, 0.5813)  3 Te 2.79, 3 Zr 2.87

=====

Entry 9:
Tb2NdHo | PBE | optimized geometry

Calculated values
crystal system = trigonal
energy relative to the lowest polymorph listed for this composition = 10.8 meV/atom
total magnetization = 0.00 μB per formula unit
space-group type = R-3m, No. 166

Cell: 3.5806 3.5806 35.0490 Å, 90.00 90.00 120.00°
Closest atoms and distances in Å follow each position.
Sites, in units of the cell vectors:
Tb (0.0000, 0.0000, 0.2485)  3 Ho 3.54, 6 Tb 3.58, 3 Nd 3.62
Tb (0.0000, 0.0000, 0.7515)  3 Ho 3.54, 6 Tb 3.58, 3 Nd 3.62
Tb (0.3333, 0.6667, 0.4181)  3 Ho 3.54, 6 Tb 3.58, 3 Nd 3.62
Tb (0.3333, 0.6667, 0.9152)  3 Ho 3.54, 6 Tb 3.58, 3 Nd 3.62
Tb (0.6667, 0.3333, 0.0848)  3 Ho 3.54, 6 Tb 3.58, 3 Nd 3.62
Tb (0.6667, 0.3333, 0.5819)  3 Ho 3.54, 6 Tb 3.58, 3 Nd 3.62
Nd (0.0000, 0.0000, 0.0000)  6 Nd 3.58, 6 Tb 3.62
Nd (0.3333, 0.6667, 0.6667)  6 Nd 3.58, 6 Tb 3.62
Nd (0.6667, 0.3333, 0.3333)  6 Nd 3.58, 6 Tb 3.62
Ho (0.0000, 0.0000, 0.5000)  6 Tb 3.54, 6 Ho 3.58
Ho (0.3333, 0.6667, 0.1667)  6 Tb 3.54, 6 Ho 3.58
Ho (0.6667, 0.3333, 0.8333)  6 Tb 3.54, 6 Ho 3.58

=====

Entry 10:
Ba2CaCd | PBE | optimized geometry

Calculated values
crystal system = monoclinic
total magnetization = 0.00 μB per formula unit
space-group type = Pm, No. 6
E = -1.766 eV/atom

Cell: 4.8557 5.0430 8.1109 Å, 90.00 107.36 90.00°
Closest atoms and distances in Å follow each position.
Sites, in units of the cell vectors:
Ba (0.0000, 0.0000, 0.0000)  1 Cd 3.80, 4 Ca 3.97
Ba (0.3320, 0.5000, 0.6628)  4 Cd 3.69-3.70, 2 Ca 4.05-4.06
Ca (0.6210, 0.5000, 0.2425)  2 Cd 3.26
Cd (0.7560, 0.0000, 0.5097)  2 Ca 3.26

=====

no.,DOS at the Fermi energy (states/eV/atom)
1,0.9117
2,1.2506
3,0.5513
4,1.3561
5,0.9828
6,0.2560
7,0.1545
8,1.2592
9,1.3287
10,1.1139